(1)
This record from the Alexandria database describes a relaxed Cs3CdSi crystal. The functional is PBE.

Output
- energy (eV per atom) = -1.2050
- magnetic moment (μB/cell) = 1.15
- density of states at the Fermi level (states/eV/cell) = 2.4
- formation energy without anion corrections (eV/atom) = 0.575

Unit cell a=7.162 b=7.162 c=7.162 alpha=90.00 beta=90.00 gamma=90.00
Space group Pm-3m (No. 221)
Unique sites:
Cs (0.000, 0.000, 0.500)
Cd (0.000, 0.000, 0.000)
Si (0.500, 0.500, 0.500)

(2)
This record from the Alexandria database describes a relaxed CsCd2Si2 crystal. The functional is PBE.

Output
- energy (eV per atom) = -2.4059
- ΔE to the lowest computed polymorph (eV per formula unit) = 0.84
- magnetic moment (μB/cell) = 0.00
- density of states at the Fermi level (states/eV/cell) = 5.6
- formation energy without anion corrections (eV/atom) = 0.300

Unit cell a=4.715 b=4.715 c=12.242 alpha=90.00 beta=90.00 gamma=90.00
Space group I4/mmm (No. 139)
Unique sites:
Cs (0.000, 0.000, 0.000)
Cd (0.000, 0.000, 0.371)
Si (0.000, 0.500, 0.250)

(3)
This record from the Alexandria database describes a relaxed Cs2Cd2Si crystal. The functional is PBE.

Output
- energy (eV per atom) = -1.6094
- ΔE to the lowest computed polymorph (eV per formula unit) = 0.00
- magnetic moment (μB/cell) = 0.00
- density of states at the Fermi level (states/eV/cell) = 2.5
- formation energy without anion corrections (eV/atom) = 0.183

Unit cell a=7.540 b=7.540 c=6.256 alpha=90.00 beta=90.00 gamma=90.00
Space group P4/mbm (No. 127)
Unique sites:
Cs (0.179, 0.321, 0.000)
Cd (0.147, 0.647, 0.500)
Si (0.000, 0.000, 0.500)

(4)
This record from the Alexandria database describes a relaxed Cs2CdSi crystal. The functional is PBE.

Output
- energy (eV per atom) = -1.6034
- magnetic moment (μB/cell) = 8.01
- density of states at the Fermi level (states/eV/cell) = 12.3
- formation energy without anion corrections (eV/atom) = 0.408

Unit cell a=9.069 b=9.069 c=9.069 alpha=90.00 beta=90.00 gamma=90.00
Space group Fm-3m (No. 225)
Unique sites:
Cs (0.250, 0.250, 0.250)
Cd (0.000, 0.000, 0.000)
Si (0.000, 0.000, 0.500)

Q: Among the records above, which one has the highest density of states at the Fermi level?
A: Cs2CdSi